No. 1
This record from Alexandria describes a relaxed Sr5Li6Mg crystal. The functional is GGA-PBE.

- energy (eV per atom) = -1.7465
- V (A^3/atom) = 34.6
- energy of formation from the pure elements (meV per atom) = 44

abc: 5.8311 17.4017 8.1785
angles: 90.00 90.00 90.00
Space group Cmmm (No. 65)
Unique sites:
Sr: 0.0000 0.0000 0.0000 (multiplicity 2)
Sr: 0.0000 0.3273 0.0000 (multiplicity 4)
Sr: 0.0000 0.3344 0.5000 (multiplicity 4)
Li: 0.0000 0.1512 0.2756 (multiplicity 8)
Li: 0.0000 0.5000 0.2734 (multiplicity 4)
Mg: 0.0000 0.0000 0.5000 (multiplicity 2)

***

No. 2
This record from Alexandria describes a relaxed HoTh4Se5 crystal. The functional is GGA-PBE.

- energy relative to the elements, uncorrected (eV per atom) = -1.57
- energy (eV per atom) = -6.7355
- V (A^3/atom) = 25.8

abc: 9.3451 9.3451 5.9059
angles: 90.00 90.00 90.00
Space group I4/m (No. 87)
Unique sites:
Ho: 0.0000 0.0000 0.0000 (multiplicity 2)
Th: 0.0948 0.3066 0.5000 (multiplicity 8)
Se: 0.0000 0.0000 0.5000 (multiplicity 2)
Se: 0.1019 0.2876 0.0000 (multiplicity 8)

***

No. 3
This record from Alexandria describes a relaxed V2Ni7As2Pt crystal. The functional is GGA-PBE.

- energy (eV per atom) = -6.2954
- V (A^3/atom) = 12.6
- energy of formation from the pure elements (meV per atom) = -125

abc: 5.1083 5.1147 11.5800
angles: 90.00 90.09 90.00
Space group C2/m (No. 12)
Unique sites:
V: 0.0012 0.0000 0.3261 (multiplicity 4)
Ni: 0.0000 0.0000 0.0000 (multiplicity 2)
Ni: 0.2484 0.5000 0.4995 (multiplicity 4)
Ni: 0.2493 0.2499 0.8378 (multiplicity 8)
As: 0.0009 0.5000 0.3061 (multiplicity 4)
Pt: 0.0000 0.5000 0.0000 (multiplicity 2)

***

No. 4
This record from Alexandria describes a relaxed CoOsRu crystal. The functional is GGA-PBE.

- E above lowest polymorph (eV/f.u.) = 0.00
- energy (eV per atom) = -9.1510
- V (A^3/atom) = 13.0
- energy of formation from the pure elements (meV per atom) = 53

abc: 2.6959 13.8035 4.1996
angles: 90.00 90.00 90.00
Space group Cmcm (No. 63)
Unique sites:
Co: 0.0000 0.1106 0.2500 (multiplicity 4)
Os: 0.0000 0.2199 0.7500 (multiplicity 4)
Ru: 0.0000 0.4445 0.2500 (multiplicity 4)

***

No. 5
This record from Alexandria describes a relaxed K2LiGaHg6 crystal. The functional is GGA-PBE.

- energy (eV per atom) = -1.0728
- V (A^3/atom) = 31.0
- energy of formation from the pure elements (meV per atom) = -178

abc: 7.3573 7.3673 7.7735
angles: 62.34 62.56 60.59
Space group P-1 (No. 2)
Unique sites:
K: 0.2212 0.2113 0.3496 (multiplicity 2)
Li: 0.5000 0.5000 0.5000 (multiplicity 1)
Ga: 0.0000 0.0000 0.0000 (multiplicity 1)
Hg: 0.2415 0.2721 0.7955 (multiplicity 2)
Hg: 0.2503 0.6982 0.7888 (multiplicity 2)
Hg: 0.3313 0.7375 0.1835 (multiplicity 2)

***

No. 6
This record from Alexandria describes a relaxed Li7Ca3Cd2 crystal. The functional is GGA-PBE.

- E above lowest polymorph (eV/f.u.) = 0.61
- energy (eV per atom) = -1.8308
- V (A^3/atom) = 25.9
- energy of formation from the pure elements (meV per atom) = -61

abc: 4.7493 4.2695 15.5002
angles: 90.00 98.18 90.00
Space group P2/m (No. 10)
Unique sites:
Li: 0.0000 0.0000 0.0000 (multiplicity 1)
Li: 0.0776 0.5000 0.1622 (multiplicity 2)
Li: 0.2731 0.5000 0.5457 (multiplicity 2)
Li: 0.4213 0.0000 0.8383 (multiplicity 2)
Ca: 0.1683 0.0000 0.3492 (multiplicity 2)
Ca: 0.5000 0.5000 0.0000 (multiplicity 1)
Cd: 0.3687 0.5000 0.7239 (multiplicity 2)

***

No. 7
This record from Alexandria describes a relaxed Pm4GeP2S crystal. The functional is GGA-PBE.

- energy relative to the elements, uncorrected (eV per atom) = -1.53
- energy (eV per atom) = -6.3491
- V (A^3/atom) = 25.2

abc: 7.1914 4.1223 7.1952
angles: 90.00 109.28 90.00
Space group P2/m (No. 10)
Unique sites:
Pm: 0.2451 0.0000 0.2433 (multiplicity 2)
Pm: 0.2530 0.5000 0.7567 (multiplicity 2)
Ge: 0.5000 0.5000 0.5000 (multiplicity 1)
P: 0.0000 0.5000 0.0000 (multiplicity 1)
P: 0.5000 0.0000 0.0000 (multiplicity 1)
S: 0.0000 0.0000 0.5000 (multiplicity 1)

***

No. 8
This record from Alexandria describes a relaxed DyYSiAu crystal. The functional is GGA-PBE.

- energy relative to the elements, uncorrected (eV per atom) = -0.67
- energy (eV per atom) = -5.6110
- V (A^3/atom) = 22.8

abc: 7.1410 7.1410 7.1410
angles: 90.00 90.00 90.00
Space group F-43m (No. 216)
Unique sites:
Dy: 0.0000 0.0000 0.0000 (multiplicity 4)
Y: 0.0000 0.0000 0.5000 (multiplicity 4)
Si: 0.2500 0.2500 0.2500 (multiplicity 4)
Au: 0.2500 0.2500 0.7500 (multiplicity 4)

***

No. 9
This record from Alexandria describes a relaxed La2GaSiPt6 crystal. The functional is GGA-PBE.

- energy relative to the elements, uncorrected (eV per atom) = -1.01
- energy (eV per atom) = -6.4615
- V (A^3/atom) = 20.3

abc: 5.6110 8.7775 8.2519
angles: 90.00 90.00 90.00
Space group Pmmn (No. 59, origin choice 2)
Unique sites:
La: 0.2500 0.0050 0.2264 (multiplicity 4)
Ga: 0.2500 0.7500 0.7693 (multiplicity 2)
Si: 0.2500 0.2500 0.7433 (multiplicity 2)
Pt: 0.9998 0.2500 0.9779 (multiplicity 4)
Pt: 0.0017 0.7500 0.5028 (multiplicity 4)
Pt: 0.2500 0.0012 0.6104 (multiplicity 4)

***

No. 10
This record from Alexandria describes a relaxed LiTcPt2 crystal. The functional is GGA-PBE.

- E above lowest polymorph (eV/f.u.) = 0.00
- energy (eV per atom) = -6.4303
- V (A^3/atom) = 14.5
- energy of formation from the pure elements (meV per atom) = -340

abc: 2.6945 4.4768 4.7997
angles: 90.00 90.00 90.00
Space group Pmm2 (No. 25)
Unique sites:
Li: 0.0000 0.0000 0.0000 (multiplicity 1)
Tc: 0.0000 0.5000 0.3628 (multiplicity 1)
Pt: 0.5000 0.0000 0.5088 (multiplicity 1)
Pt: 0.5000 0.5000 0.8841 (multiplicity 1)

***

No. 11
This record from Alexandria describes a relaxed PrEr3Pt crystal. The functional is GGA-PBE.

- E above lowest polymorph (eV/f.u.) = 0.00
- energy (eV per atom) = -5.3228
- V (A^3/atom) = 30.3
- energy of formation from the pure elements (meV per atom) = -421

abc: 7.5605 7.5605 6.1168
angles: 90.00 90.00 120.00
Space group P6_3/mmc (No. 194)
Unique sites:
Pr: 0.3333 0.6667 0.2500 (multiplicity 2)
Er: 0.1792 0.3585 0.7500 (multiplicity 6)
Pt: 0.0000 0.0000 0.0000 (multiplicity 2)

***

No. 12
This record from Alexandria describes a relaxed TaBe2TlAs crystal. The functional is GGA-PBE.

- energy (eV per atom) = -3.7324
- V (A^3/atom) = 23.2
- energy of formation from the pure elements (meV per atom) = 1532

abc: 4.6406 4.6406 5.3767
angles: 90.00 90.00 90.00
Space group P4/mmm (No. 123)
Unique sites:
Ta: 0.0000 0.0000 0.0000 (multiplicity 1)
Be: 0.0000 0.5000 0.0000 (multiplicity 2)
Tl: 0.0000 0.0000 0.5000 (multiplicity 1)
As: 0.5000 0.5000 0.5000 (multiplicity 1)

***

No. 13
This record from Alexandria describes a relaxed SnPb3Au6 crystal. The functional is GGA-PBE.

- energy (eV per atom) = -3.4007
- V (A^3/atom) = 26.7
- energy of formation from the pure elements (meV per atom) = 78

abc: 13.8603 13.8603 4.8059
angles: 90.00 90.00 120.00
Space group R3m (No. 160, hexagonal axes)
Unique sites:
Sn: 0.0000 0.0000 0.0000 (multiplicity 3)
Pb: 0.0629 0.5315 0.8564 (multiplicity 9)
Au: 0.1432 0.0716 0.5195 (multiplicity 9)
Au: 0.2027 0.4054 0.6853 (multiplicity 9)

***

No. 14
This record from Alexandria describes a relaxed As2PIr crystal. The functional is GGA-PBE.

- energy (eV per atom) = -5.4313
- V (A^3/atom) = 16.0
- energy of formation from the pure elements (meV per atom) = 461

abc: 2.9497 4.6455 4.6798
angles: 90.00 90.00 90.00
Space group Pmmm (No. 47)
Unique sites:
As: 0.0000 0.0000 0.0000 (multiplicity 1)
As: 0.5000 0.5000 0.0000 (multiplicity 1)
P: 0.0000 0.5000 0.5000 (multiplicity 1)
Ir: 0.5000 0.0000 0.5000 (multiplicity 1)

***

No. 15
This record from Alexandria describes a relaxed Cr2P2Pt crystal. The functional is GGA-PBE.

- E above lowest polymorph (eV/f.u.) = 0.00
- energy (eV per atom) = -7.4875
- V (A^3/atom) = 12.7
- energy of formation from the pure elements (meV per atom) = -266

abc: 6.6670 6.6670 2.8681
angles: 90.00 90.00 90.00
Space group P4/mbm (No. 127)
Unique sites:
Cr: 0.1420 0.3580 0.0000 (multiplicity 4)
P: 0.1506 0.6506 0.5000 (multiplicity 4)
Pt: 0.0000 0.0000 0.5000 (multiplicity 2)

***

No. 16
This record from Alexandria describes a relaxed CaTlP2O6 crystal. The functional is GGA-PBE.

- energy relative to the elements, uncorrected (eV per atom) = -2.02
- energy (eV per atom) = -6.5153
- V (A^3/atom) = 14.9

abc: 10.3567 9.9092 6.0356
angles: 90.00 105.70 90.00
Space group C2/c (No. 15)
Unique sites:
Ca: 0.0000 0.1179 0.2500 (multiplicity 4)
Tl: 0.0000 0.3115 0.7500 (multiplicity 4)
P: 0.2163 0.4302 0.2868 (multiplicity 8)
O: 0.1287 0.0605 0.6309 (multiplicity 8)
O: 0.1582 0.2882 0.2420 (multiplicity 8)
O: 0.1652 0.4825 0.5470 (multiplicity 8)

***

No. 17
This record from Alexandria describes a relaxed LaVBiIr2 crystal. The functional is GGA-PBE.

- energy (eV per atom) = -5.5910
- V (A^3/atom) = 25.0
- energy of formation from the pure elements (meV per atom) = 1539

abc: 5.0190 5.0190 4.9541
angles: 90.00 90.00 90.00
Space group P4/mmm (No. 123)
Unique sites:
La: 0.0000 0.0000 0.0000 (multiplicity 1)
V: 0.0000 0.0000 0.5000 (multiplicity 1)
Bi: 0.5000 0.5000 0.5000 (multiplicity 1)
Ir: 0.0000 0.5000 0.0000 (multiplicity 2)

***

No. 18
This record from Alexandria describes a relaxed Ac8Pr6Er crystal. The functional is GGA-PBE.

- energy (eV per atom) = -4.1821
- V (A^3/atom) = 43.1
- energy of formation from the pure elements (meV per atom) = 225

abc: 10.1942 10.1942 21.5594
angles: 90.00 90.00 120.00
Space group R-3 (No. 148, hexagonal axes)
Unique sites:
Ac: 0.0000 0.0000 0.2337 (multiplicity 6)
Ac: 0.0120 0.2978 0.6236 (multiplicity 18)
Pr: 0.0006 0.3081 0.1287 (multiplicity 18)
Er: 0.0000 0.0000 0.5000 (multiplicity 3)

***

No. 19
This record from Alexandria describes a relaxed NaMo2I crystal. The functional is GGA-PBE.

- energy relative to the elements, uncorrected (eV per atom) = 1.43
- E above lowest polymorph (eV/f.u.) = 1.92
- energy (eV per atom) = -4.7068
- V (A^3/atom) = 17.9

abc: 6.5897 6.5897 6.5897
angles: 90.00 90.00 90.00
Space group Fm-3m (No. 225)
Unique sites:
Na: 0.0000 0.0000 0.0000 (multiplicity 4)
Mo: 0.2500 0.2500 0.2500 (multiplicity 8)
I: 0.0000 0.0000 0.5000 (multiplicity 4)

***

No. 20
This record from Alexandria describes a relaxed InHg2SeF crystal. The functional is GGA-PBE.

- energy relative to the elements, uncorrected (eV per atom) = -0.34
- energy (eV per atom) = -2.0843
- V (A^3/atom) = 27.5

abc: 5.6391 5.6391 4.3292
angles: 90.00 90.00 90.00
Space group P4/mmm (No. 123)
Unique sites:
In: 0.0000 0.0000 0.0000 (multiplicity 1)
Hg: 0.0000 0.5000 0.0000 (multiplicity 2)
Se: 0.5000 0.5000 0.5000 (multiplicity 1)
F: 0.0000 0.0000 0.5000 (multiplicity 1)